Entry 1:
Material: BaSc2Pd2
Method: DFT, PBE
State: relaxed

Cell and atoms, written as CIF:
```
data_BaSc2Pd2
_chemical_formula_sum 'Ba2 Sc4 Pd4'
_space_group_name_H-M_alt 'P 1'
_space_group_IT_number 1
_cell_length_a 8.274
_cell_length_b 8.274
_cell_length_c 3.472
_cell_angle_alpha 90.00
_cell_angle_beta 90.00
_cell_angle_gamma 90.00
loop_
_space_group_symop_operation_xyz
'x,y,z'
loop_
_atom_site_label
_atom_site_type_symbol
_atom_site_fract_x
_atom_site_fract_y
_atom_site_fract_z
Ba1 Ba 0.000 0.000 0.000
Ba2 Ba 0.500 0.500 0.000
Sc1 Sc 0.137 0.363 0.500
Sc2 Sc 0.363 0.863 0.500
Sc3 Sc 0.637 0.137 0.500
Sc4 Sc 0.863 0.637 0.500
Pd1 Pd 0.133 0.633 0.000
Pd2 Pd 0.367 0.133 0.000
Pd3 Pd 0.633 0.867 0.000
Pd4 Pd 0.867 0.367 0.000
```

- E_form: -0.423 eV per atom

=====

Entry 2:
Material: BaSc3Pd
Method: DFT, PBE
State: relaxed

Cell and atoms, written as CIF:
```
data_BaSc3Pd
_chemical_formula_sum 'Ba1 Sc3 Pd1'
_space_group_name_H-M_alt 'P 1'
_space_group_IT_number 1
_cell_length_a 5.277
_cell_length_b 5.277
_cell_length_c 5.277
_cell_angle_alpha 90.00
_cell_angle_beta 90.00
_cell_angle_gamma 90.00
loop_
_space_group_symop_operation_xyz
'x,y,z'
loop_
_atom_site_label
_atom_site_type_symbol
_atom_site_fract_x
_atom_site_fract_y
_atom_site_fract_z
Ba1 Ba 0.000 0.000 0.000
Sc1 Sc 0.000 0.500 0.500
Sc2 Sc 0.500 0.000 0.500
Sc3 Sc 0.500 0.500 0.000
Pd1 Pd 0.500 0.500 0.500
```

- E_form: -0.125 eV per atom

=====

Entry 3:
Material: BaSc2Pd
Method: DFT, PBE
State: relaxed

Cell and atoms, written as CIF:
```
data_BaSc2Pd
_chemical_formula_sum 'Ba1 Sc2 Pd1'
_space_group_name_H-M_alt 'P 1'
_space_group_IT_number 1
_cell_length_a 10.370
_cell_length_b 10.370
_cell_length_c 10.370
_cell_angle_alpha 21.51
_cell_angle_beta 21.51
_cell_angle_gamma 21.51
loop_
_space_group_symop_operation_xyz
'x,y,z'
loop_
_atom_site_label
_atom_site_type_symbol
_atom_site_fract_x
_atom_site_fract_y
_atom_site_fract_z
Ba1 Ba 0.000 0.000 0.000
Sc1 Sc 0.120 0.120 0.120
Sc2 Sc 0.880 0.880 0.880
Pd1 Pd 0.500 0.500 0.500
```

- E_form: -0.023 eV per atom

=====

Entry 4:
Material: BaScPd3
Method: DFT, PBE
State: relaxed

Cell and atoms, written as CIF:
```
data_BaScPd3
_chemical_formula_sum 'Ba1 Sc1 Pd3'
_space_group_name_H-M_alt 'P 1'
_space_group_IT_number 1
_cell_length_a 5.306
_cell_length_b 5.306
_cell_length_c 5.306
_cell_angle_alpha 90.00
_cell_angle_beta 90.00
_cell_angle_gamma 90.00
loop_
_space_group_symop_operation_xyz
'x,y,z'
loop_
_atom_site_label
_atom_site_type_symbol
_atom_site_fract_x
_atom_site_fract_y
_atom_site_fract_z
Ba1 Ba 0.000 0.000 0.000
Sc1 Sc 0.500 0.500 0.500
Pd1 Pd 0.000 0.000 0.500
Pd2 Pd 0.000 0.500 0.000
Pd3 Pd 0.500 0.000 0.000
```

- E_form: 0.899 eV per atom

=====

Entry 5:
Material: BaScPdSe3
Method: DFT, PBE
State: relaxed

Cell and atoms, written as CIF:
```
data_BaScPdSe3
_chemical_formula_sum 'Ba2 Sc2 Pd2 Se6'
_space_group_name_H-M_alt 'P 1'
_space_group_IT_number 1
_cell_length_a 8.443
_cell_length_b 4.090
_cell_length_c 9.418
_cell_angle_alpha 90.00
_cell_angle_beta 107.19
_cell_angle_gamma 90.00
loop_
_space_group_symop_operation_xyz
'x,y,z'
loop_
_atom_site_label
_atom_site_type_symbol
_atom_site_fract_x
_atom_site_fract_y
_atom_site_fract_z
Ba1 Ba 0.209 0.250 0.249
Ba2 Ba 0.791 0.750 0.751
Sc1 Sc 0.319 0.750 0.845
Sc2 Sc 0.681 0.250 0.155
Pd1 Pd 0.096 0.250 0.582
Pd2 Pd 0.904 0.750 0.418
Se1 Se 0.111 0.250 0.870
Se2 Se 0.252 0.750 0.545
Se3 Se 0.456 0.750 0.148
Se4 Se 0.544 0.250 0.852
Se5 Se 0.748 0.250 0.455
Se6 Se 0.889 0.750 0.130
```

- Energy relative to the elements, uncorrected: -1433 meV per atom

=====

Entry 6:
Material: BaScSnPd2
Method: DFT, PBE
State: relaxed

Cell and atoms, written as CIF:
```
data_BaScSnPd2
_chemical_formula_sum 'Ba1 Sc1 Sn1 Pd2'
_space_group_name_H-M_alt 'P 1'
_space_group_IT_number 1
_cell_length_a 5.099
_cell_length_b 5.099
_cell_length_c 6.021
_cell_angle_alpha 90.00
_cell_angle_beta 90.00
_cell_angle_gamma 90.00
loop_
_space_group_symop_operation_xyz
'x,y,z'
loop_
_atom_site_label
_atom_site_type_symbol
_atom_site_fract_x
_atom_site_fract_y
_atom_site_fract_z
Ba1 Ba 0.000 0.000 0.000
Sc1 Sc 0.500 0.500 0.000
Sn1 Sn 0.000 0.000 0.500
Pd1 Pd 0.000 0.500 0.500
Pd2 Pd 0.500 0.000 0.500
```

- E_form: 0.447 eV per atom

=====

Entry 7:
Material: Ba2ScSnPd
Method: DFT, PBE
State: relaxed

Cell and atoms, written as CIF:
```
data_Ba2ScSnPd
_chemical_formula_sum 'Ba2 Sc1 Sn1 Pd1'
_space_group_name_H-M_alt 'P 1'
_space_group_IT_number 1
_cell_length_a 6.584
_cell_length_b 6.584
_cell_length_c 5.418
_cell_angle_alpha 90.00
_cell_angle_beta 90.00
_cell_angle_gamma 90.00
loop_
_space_group_symop_operation_xyz
'x,y,z'
loop_
_atom_site_label
_atom_site_type_symbol
_atom_site_fract_x
_atom_site_fract_y
_atom_site_fract_z
Ba1 Ba 0.000 0.500 0.000
Ba2 Ba 0.500 0.000 0.000
Sc1 Sc 0.000 0.000 0.500
Sn1 Sn 0.000 0.000 0.000
Pd1 Pd 0.500 0.500 0.500
```

- E_form: 0.222 eV per atom

=====

Entry 8:
Material: BaScTe3Pd
Method: DFT, PBE
State: relaxed

Cell and atoms, written as CIF:
```
data_BaScTe3Pd
_chemical_formula_sum 'Ba2 Sc2 Te6 Pd2'
_space_group_name_H-M_alt 'P 1'
_space_group_IT_number 1
_cell_length_a 8.940
_cell_length_b 4.369
_cell_length_c 9.988
_cell_angle_alpha 90.00
_cell_angle_beta 106.40
_cell_angle_gamma 90.00
loop_
_space_group_symop_operation_xyz
'x,y,z'
loop_
_atom_site_label
_atom_site_type_symbol
_atom_site_fract_x
_atom_site_fract_y
_atom_site_fract_z
Ba1 Ba 0.198 0.250 0.256
Ba2 Ba 0.802 0.750 0.744
Sc1 Sc 0.318 0.750 0.845
Sc2 Sc 0.682 0.250 0.155
Te1 Te 0.111 0.250 0.876
Te2 Te 0.235 0.750 0.542
Te3 Te 0.454 0.750 0.155
Te4 Te 0.546 0.250 0.845
Te5 Te 0.765 0.250 0.458
Te6 Te 0.889 0.750 0.124
Pd1 Pd 0.084 0.250 0.588
Pd2 Pd 0.916 0.750 0.412
```

- Energy relative to the elements, uncorrected: -1168 meV per atom